[1]
# GaP2IrAu PBE-GGA relaxed
data_GaP2IrAu
_cell_length_a 4.507
_cell_length_b 4.507
_cell_length_c 4.765
_cell_angle_alpha 90.00
_cell_angle_beta 90.00
_cell_angle_gamma 90.00
_space_group_name_H-M_alt 'P 4/m m m'
_space_group_IT_number 123
_space_group_name_Hall '-P 4 2'
loop_
_atom_site_label
_atom_site_type_symbol
_atom_site_fract_x
_atom_site_fract_y
_atom_site_fract_z
Ga1 Ga 0.000 0.000 0.000
P1 P 0.000 0.500 0.000
Ir1 Ir 0.500 0.500 0.500
Au1 Au 0.000 0.000 0.500
# Energy, eV/atom: -3.882
# ΔE_f, eV per atom: 1.315
# Total magnetization, μB per formula unit: 0.000

=====

[2]
# GaIrPdAu PBE-GGA relaxed
data_GaIrPdAu
_cell_length_a 6.305
_cell_length_b 6.305
_cell_length_c 6.305
_cell_angle_alpha 90.00
_cell_angle_beta 90.00
_cell_angle_gamma 90.00
_space_group_name_H-M_alt 'F -4 3 m'
_space_group_IT_number 216
_space_group_name_Hall 'F -4 2 3'
loop_
_atom_site_label
_atom_site_type_symbol
_atom_site_fract_x
_atom_site_fract_y
_atom_site_fract_z
Ga1 Ga 0.000 0.000 0.000
Ir1 Ir 0.250 0.250 0.250
Pd1 Pd 0.250 0.250 0.750
Au1 Au 0.000 0.000 0.500
# Energy, eV/atom: -5.211
# ΔE_f, eV per atom: -0.122
# Total magnetization, μB per formula unit: 0.000

=====

[3]
# Pm2Ga4Ir3Au PBE-GGA relaxed
data_Pm2Ga4Ir3Au
_cell_length_a 4.199
_cell_length_b 4.199
_cell_length_c 10.826
_cell_angle_alpha 90.00
_cell_angle_beta 90.00
_cell_angle_gamma 90.00
_space_group_name_H-M_alt 'P -4 m 2'
_space_group_IT_number 115
_space_group_name_Hall 'P -4 -2'
loop_
_atom_site_label
_atom_site_type_symbol
_atom_site_fract_x
_atom_site_fract_y
_atom_site_fract_z
Pm1 Pm 0.000 0.500 0.243
Ga1 Ga 0.000 0.000 0.000
Ga2 Ga 0.000 0.500 0.638
Ga3 Ga 0.500 0.500 0.000
Ir1 Ir 0.000 0.500 0.867
Ir2 Ir 0.500 0.500 0.500
Au1 Au 0.000 0.000 0.500
# Energy, eV/atom: -5.803
# ΔE_f, eV per atom: -0.656
# Total magnetization, μB per formula unit: 0.000

=====

[4]
# PmGa4Ir2Au PBE-GGA relaxed
data_PmGa4Ir2Au
_cell_length_a 4.2866
_cell_length_b 4.2866
_cell_length_c 27.6753
_cell_angle_alpha 90.00
_cell_angle_beta 90.00
_cell_angle_gamma 120.00
_space_group_name_H-M_alt 'R -3 m'
_space_group_IT_number 166
_space_group_name_Hall '-R 3 2"'
loop_
_atom_site_label
_atom_site_type_symbol
_atom_site_fract_x
_atom_site_fract_y
_atom_site_fract_z
Pm1 Pm 0.0000 0.0000 0.0000
Ga1 Ga 0.0000 0.0000 0.1218
Ga2 Ga 0.0000 0.0000 0.3996
Ir1 Ir 0.0000 0.0000 0.2530
Au1 Au 0.0000 0.0000 0.5000
# Energy, eV/atom: -5.129
# ΔE_f, eV per atom: -0.397
# Total magnetization, μB per formula unit: 0.000

=====

[5]
# PrGa4Ir2Au PBE-GGA relaxed
data_PrGa4Ir2Au
_cell_length_a 4.3457
_cell_length_b 4.3457
_cell_length_c 26.7557
_cell_angle_alpha 90.00
_cell_angle_beta 90.00
_cell_angle_gamma 120.00
_space_group_name_H-M_alt 'R -3 m'
_space_group_IT_number 166
_space_group_name_Hall '-R 3 2"'
loop_
_atom_site_label
_atom_site_type_symbol
_atom_site_fract_x
_atom_site_fract_y
_atom_site_fract_z
Pr1 Pr 0.0000 0.0000 0.0000
Ga1 Ga 0.0000 0.0000 0.1250
Ga2 Ga 0.0000 0.0000 0.3984
Ir1 Ir 0.0000 0.0000 0.2292
Au1 Au 0.0000 0.0000 0.5000
# Energy, eV/atom: -5.138
# ΔE_f, eV per atom: -0.402
# Total magnetization, μB per formula unit: 0.000

=====

[6]
# GaIr2PtAu PBE-GGA relaxed
data_GaIr2PtAu
_cell_length_a 4.907
_cell_length_b 4.907
_cell_length_c 4.560
_cell_angle_alpha 90.00
_cell_angle_beta 90.00
_cell_angle_gamma 90.00
_space_group_name_H-M_alt 'P 4/m m m'
_space_group_IT_number 123
_space_group_name_Hall '-P 4 2'
loop_
_atom_site_label
_atom_site_type_symbol
_atom_site_fract_x
_atom_site_fract_y
_atom_site_fract_z
Ga1 Ga 0.000 0.000 0.000
Ir1 Ir 0.000 0.500 0.500
Pt1 Pt 0.500 0.500 0.000
Au1 Au 0.000 0.000 0.500
# Energy, eV/atom: -4.227
# ΔE_f, eV per atom: 1.786
# Total magnetization, μB per formula unit: 1.317

=====

[7]
# Pu2Ga6IrAu PBE-GGA relaxed
data_Pu2Ga6IrAu
_cell_length_a 6.617
_cell_length_b 6.636
_cell_length_c 6.650
_cell_angle_alpha 60.11
_cell_angle_beta 60.18
_cell_angle_gamma 60.11
_space_group_name_H-M_alt 'P -1'
_space_group_IT_number 2
_space_group_name_Hall '-P 1'
loop_
_atom_site_label
_atom_site_type_symbol
_atom_site_fract_x
_atom_site_fract_y
_atom_site_fract_z
Pu1 Pu 0.182 0.180 0.461
Ga1 Ga 0.136 0.356 0.867
Ga2 Ga 0.355 0.640 0.869
Ga3 Ga 0.358 0.865 0.134
Ir1 Ir 0.000 0.000 0.000
Au1 Au 0.500 0.500 0.500
# Energy, eV/atom: -6.147
# ΔE_f, eV per atom: -0.251
# Total magnetization, μB per formula unit: 11.406

=====

[8]
# Sm2Ga4Ir3Au PBE-GGA relaxed
data_Sm2Ga4Ir3Au
_cell_length_a 4.177
_cell_length_b 4.177
_cell_length_c 10.874
_cell_angle_alpha 90.00
_cell_angle_beta 90.00
_cell_angle_gamma 90.00
_space_group_name_H-M_alt 'P -4 m 2'
_space_group_IT_number 115
_space_group_name_Hall 'P -4 -2'
loop_
_atom_site_label
_atom_site_type_symbol
_atom_site_fract_x
_atom_site_fract_y
_atom_site_fract_z
Sm1 Sm 0.000 0.500 0.243
Ga1 Ga 0.000 0.000 0.000
Ga2 Ga 0.000 0.500 0.638
Ga3 Ga 0.500 0.500 0.000
Ir1 Ir 0.000 0.500 0.866
Ir2 Ir 0.500 0.500 0.500
Au1 Au 0.000 0.000 0.500
# Energy, eV/atom: -5.796
# ΔE_f, eV per atom: -0.655
# Total magnetization, μB per formula unit: 0.000

=====

[9]
# Sm2Ga4IrAu3 PBE-GGA relaxed
data_Sm2Ga4IrAu3
_cell_length_a 4.229
_cell_length_b 4.229
_cell_length_c 11.106
_cell_angle_alpha 90.00
_cell_angle_beta 90.00
_cell_angle_gamma 90.00
_space_group_name_H-M_alt 'P -4 m 2'
_space_group_IT_number 115
_space_group_name_Hall 'P -4 -2'
loop_
_atom_site_label
_atom_site_type_symbol
_atom_site_fract_x
_atom_site_fract_y
_atom_site_fract_z
Sm1 Sm 0.000 0.500 0.242
Ga1 Ga 0.000 0.000 0.500
Ga2 Ga 0.000 0.500 0.870
Ga3 Ga 0.500 0.500 0.500
Ir1 Ir 0.500 0.500 0.000
Au1 Au 0.000 0.000 0.000
Au2 Au 0.000 0.500 0.643
# Energy, eV/atom: -4.653
# ΔE_f, eV per atom: -0.629
# Total magnetization, μB per formula unit: 0.000

=====

[10]
# SmGa3IrAu PBE-GGA relaxed
data_SmGa3IrAu
_cell_length_a 6.586
_cell_length_b 13.535
_cell_length_c 6.004
_cell_angle_alpha 90.00
_cell_angle_beta 90.00
_cell_angle_gamma 90.00
_space_group_name_H-M_alt 'C m c m'
_space_group_IT_number 63
_space_group_name_Hall '-C 2c 2'
loop_
_atom_site_label
_atom_site_type_symbol
_atom_site_fract_x
_atom_site_fract_y
_atom_site_fract_z
Sm1 Sm 0.000 0.198 0.250
Ga1 Ga 0.000 0.192 0.750
Ga2 Ga 0.199 0.500 0.000
Ir1 Ir 0.000 0.015 0.750
Au1 Au 0.000 0.369 0.750
# Energy, eV/atom: -4.649
# ΔE_f, eV per atom: -0.326
# Total magnetization, μB per formula unit: 0.000

=====

[11]
# Sr2Ga4Ir3Au PBE-GGA relaxed
data_Sr2Ga4Ir3Au
_cell_length_a 4.315
_cell_length_b 4.315
_cell_length_c 10.714
_cell_angle_alpha 90.00
_cell_angle_beta 90.00
_cell_angle_gamma 90.00
_space_group_name_H-M_alt 'P -4 m 2'
_space_group_IT_number 115
_space_group_name_Hall 'P -4 -2'
loop_
_atom_site_label
_atom_site_type_symbol
_atom_site_fract_x
_atom_site_fract_y
_atom_site_fract_z
Sr1 Sr 0.000 0.500 0.247
Ga1 Ga 0.000 0.000 0.000
Ga2 Ga 0.000 0.500 0.636
Ga3 Ga 0.500 0.500 0.000
Ir1 Ir 0.000 0.500 0.872
Ir2 Ir 0.500 0.500 0.500
Au1 Au 0.000 0.000 0.500
# Energy, eV/atom: -5.070
# ΔE_f, eV per atom: -0.537
# Total magnetization, μB per formula unit: 0.000

=====

[12]
# Sr2Ga4IrAu3 PBE-GGA relaxed
data_Sr2Ga4IrAu3
_cell_length_a 4.283
_cell_length_b 4.283
_cell_length_c 11.539
_cell_angle_alpha 90.00
_cell_angle_beta 90.00
_cell_angle_gamma 90.00
_space_group_name_H-M_alt 'P -4 m 2'
_space_group_IT_number 115
_space_group_name_Hall 'P -4 -2'
loop_
_atom_site_label
_atom_site_type_symbol
_atom_site_fract_x
_atom_site_fract_y
_atom_site_fract_z
Sr1 Sr 0.000 0.500 0.245
Ga1 Ga 0.000 0.000 0.500
Ga2 Ga 0.000 0.500 0.874
Ga3 Ga 0.500 0.500 0.500
Ir1 Ir 0.500 0.500 0.000
Au1 Au 0.000 0.000 0.000
Au2 Au 0.000 0.500 0.644
# Energy, eV/atom: -3.969
# ΔE_f, eV per atom: -0.552
# Total magnetization, μB per formula unit: 0.000

=====

> What is the energy in the eighth record?

-5.796 eV/atom